This record from Alexandria describes a relaxed NiAs2W crystal. The functional is PBEsol.

a = 3.002 Å, b = 4.184 Å, c = 5.005 Å
α = 113.21°, β = 90.00°, γ = 90.00°
Positions (direct):
Ni (0.500, 0.500, 0.000)
As (0.500, 0.000, 0.500)
W (0.000, 0.500, 0.500)
As (0.000, 0.000, 0.000)

energy of formation from the pure elements: 60 kJ/mol of formula units
D(E_F): 2.5 states/eV per cell
distance to the lowest polymorph of the same formula: 0 kJ/mol of formula units

***

This record from Alexandria describes a relaxed LiZrMn2 crystal. The functional is PBEsol.

a = 3.824 Å, b = 3.824 Å, c = 4.842 Å
α = 113.26°, β = 113.26°, γ = 90.00°
Positions (direct):
Zr (0.500, 0.500, 0.000)
Mn (0.750, 0.250, 0.500)
Li (0.250, 0.750, 0.500)
Mn (0.000, 0.000, 0.000)

energy of formation from the pure elements: 134 kJ/mol of formula units
D(E_F): 2.7 states/eV per cell

***

This record from Alexandria describes a relaxed BeAg3Ge crystal. The functional is PBEsol.

a = 4.395 Å, b = 4.395 Å, c = 4.395 Å
α = 90.00°, β = 90.00°, γ = 90.00°
Positions (direct):
Be (0.000, 0.000, 0.000)
Ag (0.000, 0.000, 0.500)
Ag (0.500, 0.000, 0.000)
Ag (0.000, 0.500, 0.000)
Ge (0.500, 0.500, 0.500)

energy of formation from the pure elements: 213 kJ/mol of formula units
D(E_F): 1.9 states/eV per cell

***

This record from Alexandria describes a relaxed SrMg2TaHg crystal. The functional is PBEsol.

a = 5.126 Å, b = 5.126 Å, c = 5.382 Å
α = 90.00°, β = 90.00°, γ = 90.00°
Positions (direct):
Hg (0.000, 0.000, 0.000)
Sr (0.500, 0.500, 0.500)
Mg (0.500, 0.000, 0.000)
Mg (0.000, 0.500, 0.000)
Ta (0.000, 0.000, 0.500)

energy of formation from the pure elements: 318 kJ/mol of formula units
D(E_F): 3.8 states/eV per cell

***

This record from Alexandria describes a relaxed ReNiTe crystal. The functional is PBEsol.

a = 3.021 Å, b = 4.176 Å, c = 4.176 Å
α = 120.00°, β = 90.00°, γ = 90.00°
Positions (direct):
Te (0.167, 0.333, 0.667)
Ni (0.166, 0.000, 0.000)
Re (0.667, 0.667, 0.333)

energy relative to the elements, uncorrected: 715 meV/atom
D(E_F): 1.7 states/eV per cell
distance to the lowest polymorph of the same formula: 29 kJ/mol of formula units

***

This record from Alexandria describes a relaxed CoAgBr2 crystal. The functional is PBEsol.

a = 3.505 Å, b = 3.565 Å, c = 7.701 Å
α = 90.00°, β = 90.00°, γ = 119.45°
Positions (direct):
Br (0.000, 0.000, 0.281)
Ag (0.500, 0.000, 0.000)
Br (0.000, 0.000, 0.719)
Co (0.500, 0.000, 0.500)

energy relative to the elements, uncorrected: 263 meV/atom
D(E_F): 6.2 states/eV per cell
distance to the lowest polymorph of the same formula: 90 kJ/mol of formula units

***

This record from Alexandria describes a relaxed Li11TiP5 crystal. The functional is PBEsol.

a = 4.092 Å, b = 7.209 Å, c = 9.410 Å
α = 74.67°, β = 77.44°, γ = 73.51°
Positions (direct):
P (0.807, 0.573, 0.813)
Ti (0.207, 0.138, 0.448)
Li (0.807, 0.818, 0.568)
Li (0.335, 0.393, 0.937)
Li (0.809, 0.275, 0.107)
Li (0.588, 0.464, 0.360)
Li (0.633, 0.676, 0.058)
Li (0.587, 0.975, 0.850)
P (0.198, 0.382, 0.223)
P (0.617, 0.183, 0.584)
Li (0.204, 0.767, 0.824)
P (0.387, 0.817, 0.409)
Li (0.413, 0.531, 0.643)
P (0.010, 0.977, 0.003)
Li (0.999, 0.239, 0.762)
Li (0.411, 0.028, 0.149)
Li (0.988, 0.763, 0.262)

energy of formation from the pure elements: -1170 kJ/mol of formula units

***

This record from Alexandria describes a relaxed TcAgSe crystal. The functional is PBEsol.

a = 3.405 Å, b = 4.105 Å, c = 4.105 Å
α = 120.00°, β = 90.00°, γ = 90.00°
Positions (direct):
Ag (0.994, 0.000, 0.000)
Se (0.532, 0.667, 0.333)
Tc (0.475, 0.333, 0.667)

energy relative to the elements, uncorrected: 342 meV/atom
D(E_F): 1.5 states/eV per cell
distance to the lowest polymorph of the same formula: 50 kJ/mol of formula units